Entry 1:
Compound: Cs2RbHgAs
Source: the Alexandria database
Functional: PBE
Structure: relaxed

abc: 7.084 7.084 6.771
angles: 90.00 90.00 90.00
Sites, in units of the cell vectors:
Cs  0.000  0.500  0.000
Cs  0.500  0.000  0.000
Rb  0.000  0.000  0.500
Hg  0.500  0.500  0.500
As  0.000  0.000  0.000

## Properties
ΔE to the lowest computed polymorph, eV/f.u.: 0.00
Calculated volume, Å³ per cell: 340
ΔE_f, eV per atom: -0.14
Symmetry: No. 123

---

Entry 2:
Compound: Ba3LiNd2Te6
Source: the Alexandria database
Functional: PBE
Structure: relaxed

abc: 8.147 8.147 8.258
angles: 99.47 99.47 119.99
Sites, in units of the cell vectors:
Ba  0.000  0.000  0.000
Ba  0.334  0.666  0.000
Ba  0.666  0.334  0.000
Li  0.500  0.500  0.500
Nd  0.167  0.833  0.500
Nd  0.833  0.167  0.500
Te  0.095  0.427  0.280
Te  0.242  0.242  0.720
Te  0.427  0.095  0.280
Te  0.573  0.905  0.720
Te  0.758  0.758  0.280
Te  0.905  0.573  0.720

## Properties
Calculated volume, Å³ per cell: 448
Energy relative to the elements, uncorrected, eV per atom: -1.53
Symmetry: No. 12

---

Entry 3:
Compound: CaBPd
Source: the Alexandria database
Functional: PBE
Structure: relaxed

abc: 9.066 3.346 6.733
angles: 90.00 90.00 90.00
Sites, in units of the cell vectors:
Ca  0.244  0.250  0.235
Ca  0.256  0.750  0.735
Ca  0.744  0.250  0.265
Ca  0.756  0.750  0.765
B  0.001  0.250  0.508
B  0.499  0.750  0.008
B  0.501  0.250  0.992
B  0.999  0.750  0.492
Pd  0.008  0.250  0.838
Pd  0.492  0.750  0.338
Pd  0.508  0.250  0.662
Pd  0.992  0.750  0.162

## Properties
Calculated volume, Å³ per cell: 204
ΔE_f, eV per atom: -0.29
Symmetry: No. 62

---

Entry 4:
Compound: Rb
Source: the Alexandria database
Functional: PBE
Structure: relaxed

abc: 4.838 17.514 17.628
angles: 90.00 90.00 90.00
Sites, in units of the cell vectors:
Rb  0.125  0.256  0.125
Rb  0.125  0.494  0.625
Rb  0.125  0.756  0.625
Rb  0.125  0.994  0.125
Rb  0.375  0.006  0.375
Rb  0.375  0.244  0.875
Rb  0.375  0.506  0.875
Rb  0.375  0.744  0.375
Rb  0.625  0.256  0.625
Rb  0.625  0.494  0.125
Rb  0.625  0.756  0.125
Rb  0.625  0.994  0.625
Rb  0.875  0.006  0.875
Rb  0.875  0.244  0.375
Rb  0.875  0.506  0.375
Rb  0.875  0.744  0.875

## Properties
ΔE to the lowest computed polymorph, eV/f.u.: 0.06
Calculated volume, Å³ per cell: 1494
ΔE_f, eV per atom: 0.06
Symmetry: No. 70

---

Entry 5:
Compound: Sr3HfS
Source: the Alexandria database
Functional: PBE
Structure: relaxed

abc: 5.765 5.765 5.765
angles: 90.00 90.00 90.00
Sites, in units of the cell vectors:
Sr  0.000  0.000  0.500
Sr  0.000  0.500  0.000
Sr  0.500  0.000  0.000
Hf  0.500  0.500  0.500
S  0.000  0.000  0.000

## Properties
ΔE to the lowest computed polymorph, eV/f.u.: 0.00
Calculated volume, Å³ per cell: 192
Energy relative to the elements, uncorrected, eV per atom: -0.15
Symmetry: No. 221

---

Entry 6:
Compound: La2PrSm7Cd2
Source: the Alexandria database
Functional: PBE
Structure: relaxed

abc: 6.534 6.534 10.269
angles: 90.00 90.00 115.74
Sites, in units of the cell vectors:
La  0.000  0.000  0.169
La  0.000  0.000  0.831
Pr  0.500  0.500  0.500
Sm  0.000  0.000  0.500
Sm  0.000  0.500  0.321
Sm  0.000  0.500  0.679
Sm  0.273  0.727  0.000
Sm  0.500  0.000  0.321
Sm  0.500  0.000  0.679
Sm  0.727  0.273  0.000
Cd  0.500  0.500  0.192
Cd  0.500  0.500  0.808

## Properties
Calculated volume, Å³ per cell: 395
ΔE_f, eV per atom: 0.01
Symmetry: No. 65

---

Entry 7:
Compound: NaCa3Au7
Source: the Alexandria database
Functional: PBE
Structure: relaxed

abc: 10.822 10.822 12.385
angles: 90.00 90.00 158.49
Sites, in units of the cell vectors:
Na  0.008  0.992  0.750
Na  0.992  0.008  0.250
Ca  0.137  0.863  0.056
Ca  0.137  0.863  0.444
Ca  0.206  0.794  0.750
Ca  0.794  0.206  0.250
Ca  0.863  0.137  0.556
Ca  0.863  0.137  0.944
Au  0.280  0.720  0.062
Au  0.280  0.720  0.438
Au  0.371  0.629  0.750
Au  0.403  0.597  0.134
Au  0.403  0.597  0.366
Au  0.464  0.536  0.589
Au  0.464  0.536  0.911
Au  0.536  0.464  0.089
Au  0.536  0.464  0.411
Au  0.597  0.403  0.634
Au  0.597  0.403  0.866
Au  0.629  0.371  0.250
Au  0.720  0.280  0.562
Au  0.720  0.280  0.938

## Properties
Calculated volume, Å³ per cell: 532
ΔE_f, eV per atom: -0.56
Symmetry: No. 63

---

Entry 8:
Compound: Y2HPb2
Source: the Alexandria database
Functional: PBE
Structure: relaxed

abc: 6.773 6.773 5.331
angles: 90.00 90.00 90.00
Sites, in units of the cell vectors:
Y  0.171  0.329  0.000
Y  0.329  0.829  0.000
Y  0.671  0.171  0.000
Y  0.829  0.671  0.000
H  0.000  0.000  0.000
H  0.500  0.500  0.000
Pb  0.165  0.665  0.500
Pb  0.335  0.165  0.500
Pb  0.665  0.835  0.500
Pb  0.835  0.335  0.500

## Properties
ΔE to the lowest computed polymorph, eV/f.u.: 0.29
Calculated volume, Å³ per cell: 245
Symmetry: No. 127

---

Entry 9:
Compound: Ba2Li12Mg3Al
Source: the Alexandria database
Functional: PBE
Structure: relaxed

abc: 11.708 11.708 11.708
angles: 34.60 34.60 34.60
Sites, in units of the cell vectors:
Ba  0.153  0.153  0.153
Ba  0.847  0.847  0.847
Li  0.081  0.081  0.692
Li  0.081  0.692  0.081
Li  0.155  0.564  0.564
Li  0.308  0.919  0.919
Li  0.436  0.436  0.845
Li  0.436  0.845  0.436
Li  0.564  0.155  0.564
Li  0.564  0.564  0.155
Li  0.692  0.081  0.081
Li  0.845  0.436  0.436
Li  0.919  0.308  0.919
Li  0.919  0.919  0.308
Mg  0.000  0.500  0.500
Mg  0.500  0.000  0.500
Mg  0.500  0.500  0.000
Al  0.500  0.500  0.500

## Properties
Calculated volume, Å³ per cell: 462
ΔE_f, eV per atom: 0.11
Symmetry: No. 166

---

Entry 10:
Compound: ThGa3Ir
Source: the Alexandria database
Functional: PBE
Structure: relaxed

abc: 4.311 4.311 10.557
angles: 90.00 90.00 90.00
Sites, in units of the cell vectors:
Th  0.000  0.000  0.000
Th  0.500  0.500  0.500
Ga  0.000  0.000  0.588
Ga  0.000  0.500  0.240
Ga  0.000  0.500  0.740
Ga  0.500  0.000  0.240
Ga  0.500  0.000  0.740
Ga  0.500  0.500  0.088
Ir  0.000  0.000  0.359
Ir  0.500  0.500  0.859

## Properties
ΔE to the lowest computed polymorph, eV/f.u.: 0.00
Calculated volume, Å³ per cell: 196
ΔE_f, eV per atom: -0.66
Symmetry: No. 107

---

Entry 11:
Compound: Ba2TbP2I2
Source: the Alexandria database
Functional: PBE
Structure: relaxed

abc: 5.357 5.357 17.999
angles: 90.00 90.00 90.00
Sites, in units of the cell vectors:
Ba  0.000  0.000  0.115
Ba  0.000  0.000  0.885
Ba  0.500  0.500  0.385
Ba  0.500  0.500  0.615
Tb  0.000  0.000  0.500
Tb  0.500  0.500  0.000
P  0.000  0.500  0.000
P  0.000  0.500  0.500
P  0.500  0.000  0.000
P  0.500  0.000  0.500
I  0.000  0.000  0.319
I  0.000  0.000  0.681
I  0.500  0.500  0.181
I  0.500  0.500  0.819

## Properties
Calculated volume, Å³ per cell: 517
Energy relative to the elements, uncorrected, eV per atom: -1.34
Symmetry: No. 139

---

Entry 12:
Compound: HfBi2Br
Source: the Alexandria database
Functional: PBE
Structure: relaxed

abc: 7.603 7.603 7.603
angles: 90.00 90.00 90.00
Sites, in units of the cell vectors:
Hf  0.000  0.000  0.000
Hf  0.000  0.500  0.500
Hf  0.500  0.000  0.500
Hf  0.500  0.500  0.000
Bi  0.250  0.250  0.250
Bi  0.250  0.250  0.750
Bi  0.250  0.750  0.250
Bi  0.250  0.750  0.750
Bi  0.750  0.250  0.250
Bi  0.750  0.250  0.750
Bi  0.750  0.750  0.250
Bi  0.750  0.750  0.750
Br  0.000  0.000  0.500
Br  0.000  0.500  0.000
Br  0.500  0.000  0.000
Br  0.500  0.500  0.500

## Properties
ΔE to the lowest computed polymorph, eV/f.u.: 0.09
Calculated volume, Å³ per cell: 440
Energy relative to the elements, uncorrected, eV per atom: 0.29
Symmetry: No. 225

---

- Among the records above, which one has the lowest calculated volume?
  Sr3HfS

---

- Among the records above, which one has the lowest calculated volume?
  Sr3HfS